Entry from the Alexandria database: a geometry-optimized PrIn2I5 structure (GGA-PBE).

Geometry as CIF:
```
data_PrIn2I5
_cell_length_a 14.3376
_cell_length_b 9.8137
_cell_length_c 9.2052
_cell_angle_alpha 90.00
_cell_angle_beta 90.00
_cell_angle_gamma 90.00
_space_group_name_H-M_alt 'P n m a'
_space_group_IT_number 62
loop_
_space_group_symop_operation_xyz
'x,y,z'
'-x,-y,-z'
'-x+1/2,-y,z+1/2'
'x+1/2,y,-z+1/2'
'x+1/2,-y+1/2,-z+1/2'
'-x+1/2,y+1/2,z+1/2'
'-x,y+1/2,-z'
'x,-y+1/2,z'
loop_
_atom_site_label
_atom_site_fract_x
_atom_site_fract_y
_atom_site_fract_z
Pr1 0.0044 0.2500 0.0843
In1 0.1779 0.5070 0.5469
I1 0.0046 0.2500 0.4359
I2 0.0808 0.5464 0.1680
I3 0.1842 0.2500 0.8737
I4 0.2123 0.7500 0.8327
```

=====

Entry from the Alexandria database: a geometry-optimized Pr4InSeI2 structure (GGA-PBE).

Geometry as CIF:
```
data_Pr4InSeI2
_cell_length_a 7.6013
_cell_length_b 4.4446
_cell_length_c 8.2414
_cell_angle_alpha 90.00
_cell_angle_beta 108.72
_cell_angle_gamma 90.00
_space_group_name_H-M_alt 'P 1 2/m 1'
_space_group_IT_number 10
loop_
_space_group_symop_operation_xyz
'x,y,z'
'-x,-y,-z'
'-x,y,-z'
'x,-y,z'
loop_
_atom_site_label
_atom_site_fract_x
_atom_site_fract_y
_atom_site_fract_z
Pr1 0.2223 0.0000 0.2041
Pr2 0.2461 0.5000 0.7849
In1 0.5000 0.0000 0.0000
Se1 0.0000 0.5000 0.0000
I1 0.0000 0.0000 0.5000
I2 0.5000 0.5000 0.5000
```

=====

Entry from the Alexandria database: a geometry-optimized Pr8InSi3I4 structure (GGA-PBE).

Geometry as CIF:
```
data_Pr8InSi3I4
_cell_length_a 8.8481
_cell_length_b 8.8481
_cell_length_c 23.1691
_cell_angle_alpha 90.00
_cell_angle_beta 90.00
_cell_angle_gamma 120.00
_space_group_name_H-M_alt 'R -3 m'
_space_group_IT_number 166
_space_group_name_Hall '-R 3 2"'
loop_
_atom_site_label
_atom_site_fract_x
_atom_site_fract_y
_atom_site_fract_z
Pr1 0.0000 0.0000 0.2325
Pr2 0.0129 0.5065 0.7644
In1 0.0000 0.0000 0.5000
Si1 0.0000 0.5000 0.5000
I1 0.0000 0.0000 0.0000
I2 0.0000 0.5000 0.0000
```

=====

Entry from the Alexandria database: a geometry-optimized PrInSnI6 structure (GGA-PBE).

Geometry as CIF:
```
data_PrInSnI6
_cell_length_a 8.1163
_cell_length_b 8.1163
_cell_length_c 15.1856
_cell_angle_alpha 90.00
_cell_angle_beta 90.00
_cell_angle_gamma 120.00
_space_group_name_H-M_alt 'P -3 1 c'
_space_group_IT_number 163
_space_group_name_Hall '-P 3 2c'
loop_
_atom_site_label
_atom_site_fract_x
_atom_site_fract_y
_atom_site_fract_z
Pr1 0.3333 0.6667 0.2500
In1 0.0000 0.0000 0.0000
Sn1 0.3333 0.6667 0.7500
I1 0.0036 0.3600 0.1304
```

=====

Number 1: uncorrected formation energy -731 kJ/mol of formula units, total DFT energy (no corrections) -3.197 eV/atom, total magnetic moment 0.00 μB per cell. Number 2: uncorrected formation energy -789 kJ/mol of formula units, total DFT energy (no corrections) -4.578 eV/atom, total magnetic moment 0.00 μB per cell. Number 3: uncorrected formation energy -1332 kJ/mol of formula units, total DFT energy (no corrections) -4.828 eV/atom, total magnetic moment 0.00 μB per cell. Number 4: uncorrected formation energy -781 kJ/mol of formula units, total DFT energy (no corrections) -3.213 eV/atom, total magnetic moment 0.00 μB per cell.